Record 1
Computed, not measured: a relaxed structure of PuCo2SiH at the PBE-GGA level of DFT.

Properties
The calculation puts the calculated volume at 125.3 Å³/cell. Its total magnetization is 7.73 μB per cell. Its density of states at the Fermi level is 22.0 states/eV per cell. The density is 10.362 Mg/m³. For the total energy, the calculation gives -78.83 eV for the cell shown.

a b c (Å): 3.743 5.520 6.447
angles (deg): 90.00 90.00 109.82
Atoms (fractional coordinates):
Co 0.164 0.328 0.949
Co 0.164 0.328 0.551
Co 0.836 0.672 0.051
Co 0.836 0.672 0.449
Si 0.289 0.577 0.250
Si 0.711 0.423 0.750
Pu 0.569 0.137 0.250
Pu 0.431 0.863 0.750
H 0.000 0.000 0.000
H 0.000 0.000 0.500


Record 2
Computed, not measured: a relaxed structure of Pr6Cu2Hg at the PBE-GGA level of DFT.

Properties
The calculation puts the calculated volume at 531.2 Å³/cell. Its total magnetization is 0.00 μB per cell. Its density of states at the Fermi level is 22.1 states/eV per cell. Its energy relative to the elements is -0.152 eV per atom. The density is 7.334 Mg/m³.

a b c (Å): 8.846 8.846 8.846
angles (deg): 106.70 108.93 112.85
Atoms (fractional coordinates):
Pr 0.902 0.721 0.181
Pr 0.461 0.279 0.181
Pr 0.098 0.279 0.819
Pr 0.193 0.243 0.436
Pr 0.696 0.373 0.677
Pr 0.807 0.243 0.049
Pr 0.696 0.019 0.323
Pr 0.807 0.757 0.564
Pr 0.193 0.757 0.951
Pr 0.304 0.627 0.323
Pr 0.304 0.981 0.677
Pr 0.539 0.721 0.819
Hg 0.000 0.000 0.000
Hg 0.000 0.500 0.500
Cu 0.500 0.383 0.883
Cu 0.356 0.000 0.356
Cu 0.500 0.617 0.117
Cu 0.644 0.000 0.644


Record 3
Computed, not measured: a relaxed structure of MoIr3 at the PBE-GGA level of DFT.

Properties
The calculation puts the calculated volume at 59.1 Å³/cell. Its total magnetization is 0.00 μB per cell. Its density of states at the Fermi level is 2.9 states/eV per cell. Its energy relative to the elements is -0.140 eV per atom. The density is 18.884 Mg/m³.

a b c (Å): 2.767 2.767 8.921
angles (deg): 90.00 90.00 120.00
Atoms (fractional coordinates):
Ir 0.000 0.000 0.995
Ir 0.333 0.667 0.250
Ir 0.000 0.000 0.505
Mo 0.333 0.667 0.750


Record 4
Computed, not measured: a relaxed structure of LiDyPd at the PBE-GGA level of DFT.

Properties
The calculation puts the calculated volume at 59.4 Å³/cell. Its total magnetization is 0.00 μB per cell. Its density of states at the Fermi level is 2.1 states/eV per cell. Its energy relative to the elements is -0.482 eV per atom. The density is 7.708 Mg/m³.

a b c (Å): 3.560 3.560 5.322
angles (deg): 109.54 109.54 90.00
Atoms (fractional coordinates):
Li 0.637 0.637 0.274
Dy 0.937 0.937 0.874
Pd 0.276 0.276 0.552


Record 5
Computed, not measured: a relaxed structure of Th3Ga2Ni9 at the PBE-GGA level of DFT.

Properties
The calculation puts the calculated volume at 221.7 Å³/cell. Its total magnetization is 0.00 μB per cell. Its density of states at the Fermi level is 12.5 states/eV per cell. Its energy relative to the elements is -0.428 eV per atom. The density is 10.216 Mg/m³.

a b c (Å): 3.998 7.904 7.904
angles (deg): 68.80 75.35 75.35
Atoms (fractional coordinates):
Th 0.000 0.000 0.000
Th 0.699 0.301 0.301
Th 0.301 0.699 0.699
Ni 0.677 0.969 0.677
Ni 0.119 0.163 0.600
Ni 0.119 0.600 0.163
Ni 0.000 0.500 0.500
Ni 0.881 0.400 0.837
Ni 0.677 0.677 0.969
Ni 0.323 0.031 0.323
Ni 0.881 0.837 0.400
Ni 0.323 0.323 0.031
Ga 0.500 0.714 0.286
Ga 0.500 0.286 0.714


Record 6
Computed, not measured: a relaxed structure of BeAlCd2 at the PBE-GGA level of DFT.

Properties
The calculation puts the calculated volume at 73.7 Å³/cell. Its total magnetization is 0.00 μB per cell. Its density of states at the Fermi level is 1.3 states/eV per cell. Its energy relative to the elements is 0.470 eV per atom. The density is 5.876 Mg/m³.

a b c (Å): 4.706 4.706 4.706
angles (deg): 60.00 60.00 60.00
Atoms (fractional coordinates):
Cd 0.000 0.000 0.000
Cd 0.250 0.250 0.250
Be 0.750 0.750 0.750
Al 0.500 0.500 0.500


Record 7
Computed, not measured: a relaxed structure of Al3ZnSb at the PBE-GGA level of DFT.

Properties
The calculation puts the calculated volume at 154.7 Å³/cell. The value obtained for the uncorrected formation energy is 0.944 eV per atom. Its total magnetization is 0.00 μB per cell. Its density of states at the Fermi level is 3.3 states/eV per cell. The density is 2.878 Mg/m³.

a b c (Å): 5.368 5.368 5.368
angles (deg): 90.00 90.00 90.00
Atoms (fractional coordinates):
Sb 0.000 0.000 0.000
Al 0.000 0.000 0.500
Al 0.500 0.000 0.000
Al 0.000 0.500 0.000
Zn 0.500 0.500 0.500


Record 8
Computed, not measured: a relaxed structure of LiPmUS4 at the PBE-GGA level of DFT.

Properties
The calculation puts the calculated volume at 369.0 Å³/cell. The value obtained for the uncorrected formation energy is -1.599 eV per atom. Its total magnetization is 4.00 μB per cell. Its density of states at the Fermi level is 9.2 states/eV per cell. The density is 4.665 Mg/m³.

a b c (Å): 8.006 8.051 8.051
angles (deg): 60.36 60.19 60.19
Atoms (fractional coordinates):
Li 0.617 0.633 0.133
Li 0.383 0.367 0.867
S 0.743 0.764 0.264
S 0.752 0.770 0.726
S 0.248 0.774 0.730
S 0.752 0.226 0.270
S 0.229 0.764 0.264
S 0.771 0.236 0.736
S 0.257 0.236 0.736
S 0.248 0.230 0.274
Pm 0.000 0.000 0.000
Pm 0.000 0.500 0.500
U 0.000 0.000 0.500
U 0.500 0.000 0.500


Record 9
Computed, not measured: a relaxed structure of AlCr2Cu at the PBE-GGA level of DFT.

Properties
The calculation puts the calculated volume at 50.9 Å³/cell. Its total magnetization is 0.08 μB per cell. Its density of states at the Fermi level is 2.2 states/eV per cell. Its energy relative to the elements is 0.046 eV per atom. The density is 6.348 Mg/m³.

a b c (Å): 4.754 4.754 4.754
angles (deg): 143.02 127.02 66.36
Atoms (fractional coordinates):
Al 0.250 0.750 0.500
Cu 0.502 0.502 0.000
Cr 0.979 0.979 0.000
Cr 0.769 0.269 0.500


Record 10
Computed, not measured: a relaxed structure of ZnCu4Au4 at the PBE-GGA level of DFT.

Properties
The calculation puts the calculated volume at 135.3 Å³/cell. Its total magnetization is 0.00 μB per cell. Its density of states at the Fermi level is 2.6 states/eV per cell. Its energy relative to the elements is -0.074 eV per atom. The density is 13.589 Mg/m³.

a b c (Å): 3.915 6.197 6.197
angles (deg): 84.27 71.59 71.59
Atoms (fractional coordinates):
Cu 0.337 0.000 0.326
Cu 0.337 0.326 0.000
Cu 0.663 0.000 0.674
Cu 0.663 0.674 0.000
Au 0.317 0.683 0.683
Au 0.000 0.683 0.317
Au 0.683 0.317 0.317
Au 0.000 0.317 0.683
Zn 0.000 0.000 0.000


Record 11
Computed, not measured: a relaxed structure of MnCuSiP at the PBE-GGA level of DFT.

Properties
The calculation puts the calculated volume at 100.7 Å³/cell. The value obtained for the uncorrected formation energy is -0.130 eV per atom. Its total magnetization is 0.33 μB per cell. Its density of states at the Fermi level is 4.6 states/eV per cell. The density is 5.856 Mg/m³.

a b c (Å): 5.630 2.950 7.275
angles (deg): 90.00 123.56 90.00
Atoms (fractional coordinates):
Si 0.516 0.500 0.028
Si 0.516 0.000 0.528
Mn 0.766 0.500 0.433
Mn 0.766 0.000 0.933
Cu 0.231 0.000 0.686
Cu 0.231 0.500 0.186
P 0.940 0.000 0.298
P 0.940 0.500 0.798


Record 12
Computed, not measured: a relaxed structure of Mg2AsPb at the PBE-GGA level of DFT.

Properties
The calculation puts the calculated volume at 101.8 Å³/cell. Its total magnetization is 0.00 μB per cell. Its density of states at the Fermi level is 1.1 states/eV per cell. Its energy relative to the elements is -0.196 eV per atom. The density is 5.396 Mg/m³.

a b c (Å): 4.107 3.170 7.819
angles (deg): 90.01 90.00 90.00
Atoms (fractional coordinates):
Pb 0.000 0.625 0.476
Mg 0.000 0.125 0.826
Mg 0.500 0.125 0.245
As 0.500 0.625 0.953


> The lowest calculated volume belongs to which entry?

AlCr2Cu


> density of number 8 (LiPmUS4)?

4.665 Mg/m³


Please write out number 1 again, unchanged.
Computed, not measured: a relaxed structure of PuCo2SiH at the PBE-GGA level of DFT.

Properties
The calculation puts the calculated volume at 125.3 Å³/cell. Its total magnetization is 7.73 μB per cell. Its density of states at the Fermi level is 22.0 states/eV per cell. The density is 10.362 Mg/m³. For the total energy, the calculation gives -78.83 eV for the cell shown.

a b c (Å): 3.743 5.520 6.447
angles (deg): 90.00 90.00 109.82
Atoms (fractional coordinates):
Co 0.164 0.328 0.949
Co 0.164 0.328 0.551
Co 0.836 0.672 0.051
Co 0.836 0.672 0.449
Si 0.289 0.577 0.250
Si 0.711 0.423 0.750
Pu 0.569 0.137 0.250
Pu 0.431 0.863 0.750
H 0.000 0.000 0.000
H 0.000 0.000 0.500


> Which formula does entry 3 have?

MoIr3